[1]
The following is a DFT calculation (GGA-PBEsol) of a geometry-optimized PtPb3 structure.

- DFT formation energy: -0.37 eV per formula unit
- V: 25.2 A^3/atom
- Offset from the most stable computed form: 0.00 eV/f.u.

Cell and atoms, written as POSCAR:
```
PtPb3
1.0
7.163 0.000 0.000
0.000 8.800 0.000
0.000 0.000 6.408
Pt Pb
4 12
direct
0.116 0.250 0.038
0.384 0.750 0.538
0.616 0.250 0.462
0.884 0.750 0.962
0.008 0.750 0.384
0.186 0.558 0.845
0.186 0.942 0.845
0.314 0.058 0.345
0.314 0.442 0.345
0.492 0.250 0.884
0.508 0.750 0.116
0.686 0.558 0.655
0.686 0.942 0.655
0.814 0.058 0.155
0.814 0.442 0.155
0.992 0.250 0.616
```

[2]
The following is a DFT calculation (GGA-PBEsol) of a geometry-optimized Pt7Pb structure.

- DFT formation energy: -0.13 eV per formula unit
- V: 15.9 A^3/atom

Cell and atoms, written as POSCAR:
```
Pt7Pb
1.0
0.000 3.988 3.988
3.988 0.000 3.988
3.988 3.988 0.000
Pt Pb
7 1
direct
0.000 0.000 0.000
0.000 0.000 0.500
0.000 0.500 0.000
0.000 0.500 0.500
0.500 0.000 0.000
0.500 0.000 0.500
0.500 0.500 0.000
0.500 0.500 0.500
```